# Ba4Nb2O9

A relaxed structure of Ba4Nb2O9 (GGA-PBEsol, the Alexandria database).

Calculated values
* energy relative to the elements, uncorrected: -2788 meV/atom
* crystal system: trigonal

Geometry as POSCAR:
```
Ba4Nb2O9
1.0
5.9347 0.0000 0.0000
-2.9673 5.1396 0.0000
0.0000 0.0000 8.3808
Ba Nb O
4 2 9
Cartesian
0.0000 0.0000 4.1904 Ba
0.0000 0.0000 0.0000 Ba
2.9673 1.7132 2.0959 Ba
0.0000 3.4264 6.2850 Ba
2.9673 1.7132 7.0192 Nb
0.0000 3.4264 1.3616 Nb
2.9673 3.3643 6.0797 O
0.0000 1.7752 2.3011 O
4.3973 0.8876 6.0797 O
-1.4299 4.2520 2.3011 O
1.5374 0.8876 6.0797 O
1.4299 4.2520 2.3011 O
1.4837 2.5698 0.0000 O
-1.4837 2.5698 0.0000 O
2.9673 0.0000 0.0000 O
```

# BaNb4O11

A relaxed structure of BaNb4O11 (GGA-PBEsol, the Alexandria database).

Calculated values
* energy relative to the elements, uncorrected: -2653 meV/atom
* crystal system: hexagonal

Geometry as POSCAR:
```
BaNb4O11
1.0
6.3478 0.0000 0.0000
-3.1739 5.4973 0.0000
0.0000 0.0000 12.5727
Ba Nb O
2 8 22
Cartesian
3.1739 1.8324 3.1432 Ba
0.0000 3.6649 9.4295 Ba
0.0000 3.6649 3.1432 Nb
3.1739 1.8324 9.4295 Nb
2.0424 3.5375 0.0000 Nb
-1.1315 1.9598 0.0000 Nb
2.2630 0.0000 0.0000 Nb
1.1315 1.9598 6.2863 Nb
-2.0424 3.5375 6.2863 Nb
4.0847 0.0000 6.2863 Nb
0.0000 3.6649 6.7105 O
3.1739 1.8324 5.8622 O
3.1739 1.8324 0.4242 O
0.0000 3.6649 12.1485 O
0.7741 1.3408 0.0000 O
-2.3997 4.1565 0.0000 O
4.7995 0.0000 0.0000 O
2.3997 4.1565 6.2863 O
-0.7741 1.3408 6.2863 O
1.5483 0.0000 6.2863 O
-1.5607 3.4760 4.3766 O
0.6168 5.1109 4.3766 O
0.9439 2.4077 4.3766 O
3.7907 0.3865 8.1961 O
4.1177 3.0896 8.1961 O
1.6132 2.0213 8.1961 O
4.7345 2.0213 10.6629 O
2.5571 0.3865 10.6629 O
2.2300 3.0896 10.6629 O
-0.6168 5.1109 1.9098 O
-0.9439 2.4077 1.9098 O
1.5607 3.4760 1.9098 O
```

# BaNb2O6

A relaxed structure of BaNb2O6 (GGA-PBEsol, the Alexandria database).

Calculated values
* energy relative to the elements, uncorrected: -2717 meV/atom
* crystal system: orthorhombic

Geometry as POSCAR:
```
BaNb2O6
1.0
-1.4930 3.6465 -0.1992
-0.4504 -0.5193 -6.1288
-9.7336 -3.9280 1.0482
Ba Nb O
2 4 12
Cartesian
-8.1895 -1.2873 -1.2561 Ba
-3.4876 0.4866 -4.0237 Ba
-0.8610 -0.4198 -1.2306 Nb
-4.1988 -1.7667 -0.8711 Nb
-5.9853 -2.6806 -4.2094 Nb
-9.3231 -4.0276 -3.8500 Nb
-4.8541 0.0922 -1.0010 O
-4.2173 -2.0034 -5.0630 O
-1.4541 -0.8883 -5.3606 O
-1.7017 1.3644 -1.3405 O
-5.9668 -2.4440 -0.0175 O
-6.8230 -0.8930 -4.2787 O
-9.9754 -2.1652 -3.9393 O
-2.5918 -1.1646 -1.8932 O
-0.2252 -0.2597 -3.0644 O
-8.7299 -3.5590 0.2800 O
-7.5923 -3.2827 -3.1873 O
-5.0920 -2.2237 -2.5403 O
```

# BaNb8O14

A relaxed structure of BaNb8O14 (GGA-PBEsol, the Alexandria database).

Calculated values
* energy relative to the elements, uncorrected: -2471 meV/atom
* crystal system: orthorhombic

Geometry as POSCAR:
```
BaNb8O14
1.0
-1.4477 0.6523 5.7506
8.1408 -3.9528 2.4977
4.4788 9.2720 0.0758
Ba Nb O
2 16 28
Cartesian
3.3466 -1.6502 4.1242 Ba
1.5155 4.9621 2.9132 Ba
3.8562 0.0110 0.9695 Nb
8.7634 5.3083 1.6040 Nb
8.6922 -0.3805 2.2313 Nb
3.9274 5.6998 0.3422 Nb
5.3480 4.9852 3.8754 Nb
5.8239 0.9863 4.4488 Nb
10.1836 4.5928 5.1372 Nb
0.9883 1.3787 3.1870 Nb
6.6069 3.3569 5.8173 Nb
3.8912 2.9182 5.1834 Nb
4.7621 8.2423 1.9181 Nb
7.0836 -2.5743 3.7294 Nb
4.5650 2.6146 2.5068 Nb
7.2807 3.0533 3.1407 Nb
6.4098 -2.2707 6.4060 Nb
4.0883 8.5459 4.5947 Nb
6.4010 5.4767 5.6084 O
4.0581 0.8160 5.5472 O
3.0141 7.0712 1.5275 O
8.8706 -1.4208 3.9651 O
4.7709 0.4949 2.7157 O
7.1138 5.1555 2.7769 O
8.1578 -1.0997 6.7966 O
2.3013 7.3924 4.3590 O
9.7736 5.6906 3.3694 O
2.1188 -0.0437 2.0928 O
3.5242 4.9721 4.9578 O
6.9273 1.3241 6.2283 O
1.3983 0.2809 4.9548 O
9.0531 6.0152 6.2314 O
7.6478 0.9995 3.3663 O
4.2446 4.6474 2.0958 O
4.0704 -1.9764 1.2489 O
2.2394 4.6360 0.0379 O
5.5967 6.7017 0.6487 O
7.0229 -1.3824 1.9247 O
9.0144 3.3740 1.8866 O
3.6052 1.9453 0.6869 O
2.7892 2.5558 3.5068 O
8.3827 3.4158 4.8174 O
6.0194 -1.1600 4.7414 O
5.1525 7.1316 3.5827 O
0.0000 0.0000 0.0000 O
6.3098 2.6596 1.2867 O
```

Number 1: D(E_F) 0.000 states/eV/atom. Number 2: D(E_F) 0.000 states/eV/atom. Number 3: D(E_F) 0.000 states/eV/atom. Number 4: D(E_F) 0.197 states/eV/atom.